Here is an optimized crystal structure of NaMoP2Rh from the Alexandria database. Energies are from GGA-PBEsol.

a = 4.4893 Å, b = 4.4893 Å, c = 4.7242 Å
α = 90.00°, β = 90.00°, γ = 90.00°
Space group P4/mmm (No. 123)
Unique sites:
Na: 0.0000 0.0000 0.0000 x1
Mo: 0.5000 0.5000 0.0000 x1
P: 0.0000 0.5000 0.5000 x2
Rh: 0.0000 0.0000 0.5000 x1

Properties
final energy = -5.632 eV/atom
formation energy from the elements = 0.95 eV per atom
spin magnetization = 3.5 μB per formula unit